DFT (PBEsol) results for a relaxed structure of Si2HgW.

Geometry as CIF:
```
data_Si2HgW
_chemical_formula_sum 'Si2 Hg1 W1'
_cell_length_a 4.9160
_cell_length_b 4.9160
_cell_length_c 4.9160
_cell_angle_alpha 138.79
_cell_angle_beta 124.98
_cell_angle_gamma 71.00
_space_group_name_H-M_alt 'P 1'
_space_group_IT_number 1
loop_
_space_group_symop_operation_xyz
'x,y,z'
loop_
_atom_site_label
_atom_site_fract_x
_atom_site_fract_y
_atom_site_fract_z
Si1 0.2459 0.2459 0.0000
Si2 0.7541 0.7541 0.0000
Hg1 0.5000 0.0000 0.5000
W1 0.0000 0.5000 0.5000
```

Summary:
DOS(E_F) = 1.6 states/eV per cell
ΔE_f (raw) = 0.476 eV/atom


DFT (PBEsol) results for a relaxed structure of YTaCo2.

Geometry as CIF:
```
data_YTaCo2
_chemical_formula_sum 'Y1 Ta1 Co2'
_cell_length_a 4.5570
_cell_length_b 4.5570
_cell_length_c 2.9468
_cell_angle_alpha 90.00
_cell_angle_beta 90.00
_cell_angle_gamma 90.00
_space_group_name_H-M_alt 'P 1'
_space_group_IT_number 1
loop_
_space_group_symop_operation_xyz
'x,y,z'
loop_
_atom_site_label
_atom_site_fract_x
_atom_site_fract_y
_atom_site_fract_z
Y1 0.0000 0.0000 0.0000
Ta1 0.5000 0.5000 0.0000
Co1 0.0000 0.5000 0.5000
Co2 0.5000 0.0000 0.5000
```

Summary:
DOS(E_F) = 4.6 states/eV per cell
Energy of formation from the pure elements = -2 kJ/mol of formula units